BeNiO | PBE with a Hubbard U | optimized geometry

Properties
Final energy = -0.1877 hartree per atom
Density of states at the Fermi level = 0.135 states/eV per atom
Calculated density = 4.689 g cm⁻³
Space group = No. 164

a b c (Å): 2.6910 9.8302 2.6907
angles (deg): 105.89 120.00 82.14
Element x y z (fractional)
O  0.7098  0.8529  0.6672
Ni  0.7094  0.0965  0.9107
Ni  0.0441  0.3052  0.7869
Be  0.7111  0.5386  0.3540
Be  0.0431  0.8631  0.3441
O  0.0445  0.5489  0.0310